DFT (PBE-GGA) results for a geometry-optimized ZnCd2Cu structure.

extended XYZ file:
```
4
Lattice="2.238 1.292 4.560 -2.238 1.292 4.560 0.000 -2.584 4.560" Properties=species:S:1:pos:R:3 pbc="T T T"
Zn 0.000 0.000 0.000
Cd 0.000 0.000 7.819
Cd 0.000 0.000 10.698
Cu 0.000 0.000 2.523
```

Results
crystal system	trigonal

***

DFT (PBE-GGA) results for a geometry-optimized CsHf2RuAu structure.

extended XYZ file:
```
5
Lattice="5.206 0.000 0.000 0.000 5.206 0.000 0.000 0.000 5.219" Properties=species:S:1:pos:R:3 pbc="T T T"
Cs 0.000 0.000 0.000
Hf 0.000 2.603 2.610
Hf 2.603 0.000 2.610
Ru 2.603 2.603 0.000
Au 2.603 2.603 2.610
```

Results
crystal system	tetragonal

***

Magnetization in μB/f.u., matching the order above: 0.000 0.515
ΔH_f (0 K) in eV/atom, matching the order above: 0.1426 1.2697
V in Å³/atom, matching the order above: 19.8 28.3